(w)
Density functional theory data (GGA-PBE) for an optimized crystal structure of ScAlCl.

Lattice parameters (Å, degrees): 4.803 4.803 4.803 60.00 60.00 60.00
Each line ends with the local moment (μB).
Sites, in units of the cell vectors:
1 Sc 0.250 0.250 0.250  0.82
2 Al 0.000 0.000 0.000  0.18
3 Cl 0.500 0.500 0.500  0.07

Results
**Spin magnetization**: 0.73 μB/atom

=====

(x)
Density functional theory data (GGA-PBE) for an optimized crystal structure of ScAlCl.

Lattice parameters (Å, degrees): 4.498 4.498 4.498 60.00 60.00 60.00
Sites, in units of the cell vectors:
1 Sc 0.000 0.000 0.000
2 Al 0.500 0.500 0.500
3 Cl 0.250 0.250 0.250

Results
**Spin magnetization**: 0.00 μB/atom

=====

Which one sits at the bottom of the stability order? (w) does.

=====

(w)
Density functional theory data (GGA-PBE) for an optimized crystal structure of ScAl3Cl.

Lattice parameters (Å, degrees): 4.807 4.807 4.807 90.00 90.00 90.00
Sites, in units of the cell vectors:
1 Sc 0.500 0.500 0.500
2 Al 0.000 0.500 0.000
3 Al 0.000 0.000 0.500
4 Al 0.500 0.000 0.000
5 Cl 0.000 0.000 0.000

Results
**Spin magnetization**: 0.00 μB/atom

=====

(x)
Density functional theory data (GGA-PBE) for an optimized crystal structure of ScAl3Cl.

Lattice parameters (Å, degrees): 5.545 5.545 5.545 90.00 90.00 90.00
Each line ends with the local moment (μB).
Sites, in units of the cell vectors:
1 Sc 0.000 0.000 0.000  0.77
2 Al 0.000 0.500 0.000  0.10
3 Al 0.000 0.000 0.500  0.09
4 Al 0.500 0.000 0.000  0.08
5 Cl 0.500 0.500 0.500  0.09

Results
**Spin magnetization**: 0.52 μB/atom

=====

Which one sits at the bottom of the stability order? (x) does.

=====

(w)
Density functional theory data (GGA-PBE) for an optimized crystal structure of AlSe2Cl.

Lattice parameters (Å, degrees): 5.851 5.851 5.851 146.75 107.23 82.39
Sites, in units of the cell vectors:
1 Al 0.490 0.490 0.000
2 Se 0.052 0.052 0.000
3 Se 0.283 0.783 0.500
4 Cl 0.674 0.174 0.500

Results
**Spin magnetization**: 0.00 μB/atom

=====

(x)
Density functional theory data (GGA-PBE) for an optimized crystal structure of AlSe2Cl.

Lattice parameters (Å, degrees): 11.064 11.064 11.064 17.70 17.70 17.70
Each line ends with the local moment (μB).
Sites, in units of the cell vectors:
1 Al 0.502 0.502 0.502  0.00
2 Se 0.001 0.001 0.001  0.18
3 Se 0.211 0.211 0.211  0.00
4 Cl 0.787 0.787 0.787  0.00

Results
**Spin magnetization**: 0.08 μB/atom

=====

Which one sits at the bottom of the stability order? (w) does.

=====

(w)
Density functional theory data (GGA-PBE) for an optimized crystal structure of AlSe2Cl2.

Lattice parameters (Å, degrees): 3.592 3.592 11.378 80.92 80.92 90.00
Sites, in units of the cell vectors:
1 Al 0.000 0.000 0.000
2 Se 0.750 0.250 0.500
3 Se 0.250 0.750 0.500
4 Cl 0.433 0.433 0.134
5 Cl 0.567 0.567 0.866

Results
**Spin magnetization**: 0.00 μB/atom

=====

(x)
Density functional theory data (GGA-PBE) for an optimized crystal structure of AlSe2Cl2.

Lattice parameters (Å, degrees): 8.928 8.928 2.989 90.00 90.00 90.00
Sites, in units of the cell vectors:
1 Al 0.000 0.000 0.000
2 Al 0.500 0.500 0.000
3 Se 0.213 0.713 0.500
4 Se 0.713 0.787 0.500
5 Se 0.787 0.287 0.500
6 Se 0.287 0.213 0.500
7 Cl 0.377 0.877 0.000
8 Cl 0.877 0.623 0.000
9 Cl 0.623 0.123 0.000
10 Cl 0.123 0.377 0.000

Results
**Spin magnetization**: 0.00 μB/atom

=====

Which one sits at the bottom of the stability order? (x) does.

=====

(w)
Density functional theory data (GGA-PBE) for an optimized crystal structure of AlSiCl2.

Lattice parameters (Å, degrees): 4.397 4.397 9.300 76.33 76.33 90.00
Sites, in units of the cell vectors:
1 Si 0.000 0.000 0.000
2 Si 0.750 0.250 0.500
3 Al 0.500 0.500 0.000
4 Al 0.250 0.750 0.500
5 Cl 0.625 0.125 0.250
6 Cl 0.125 0.625 0.250
7 Cl 0.375 0.375 0.750
8 Cl 0.875 0.875 0.750

Results
**Spin magnetization**: 0.00 μB/atom

=====

(x)
Density functional theory data (GGA-PBE) for an optimized crystal structure of AlSiCl2.

Lattice parameters (Å, degrees): 3.170 5.369 4.673 89.93 90.00 90.00
Sites, in units of the cell vectors:
1 Si 0.500 0.500 0.500
2 Al 0.000 0.000 0.500
3 Cl 0.000 0.000 0.000
4 Cl 0.500 0.500 0.000

Results
**Spin magnetization**: 0.00 μB/atom

=====

Which one sits at the bottom of the stability order? (w) does.

=====

(w)
Density functional theory data (GGA-PBE) for an optimized crystal structure of Al3SiCl.

Lattice parameters (Å, degrees): 4.897 4.897 4.897 90.00 90.00 90.00
Sites, in units of the cell vectors:
1 Si 0.500 0.500 0.500
2 Al 0.000 0.500 0.000
3 Al 0.000 0.000 0.500
4 Al 0.500 0.000 0.000
5 Cl 0.000 0.000 0.000

Results
**Spin magnetization**: 0.00 μB/atom

=====

(x)
Density functional theory data (GGA-PBE) for an optimized crystal structure of Al3SiCl.

Lattice parameters (Å, degrees): 4.983 4.983 4.983 90.00 90.00 90.00
Sites, in units of the cell vectors:
1 Si 0.000 0.000 0.000
2 Al 0.000 0.500 0.000
3 Al 0.000 0.000 0.500
4 Al 0.500 0.000 0.000
5 Cl 0.500 0.500 0.500

Results
**Spin magnetization**: 0.00 μB/atom

=====

Which one sits at the bottom of the stability order? (w) does.

=====

(w)
Density functional theory data (GGA-PBE) for an optimized crystal structure of AlSiCl.

Lattice parameters (Å, degrees): 7.684 3.862 11.296 90.00 129.43 90.00
Sites, in units of the cell vectors:
1 Si 0.901 0.000 0.742
2 Si 0.099 0.000 0.258
3 Si 0.901 0.500 0.242
4 Si 0.099 0.500 0.758
5 Al 0.000 0.000 0.000
6 Al 0.000 0.500 0.500
7 Al 0.500 0.000 0.500
8 Al 0.500 0.500 0.000
9 Cl 0.588 0.000 0.895
10 Cl 0.412 0.000 0.105
11 Cl 0.588 0.500 0.395
12 Cl 0.412 0.500 0.605

Results
**Spin magnetization**: 0.00 μB/atom

=====

(x)
Density functional theory data (GGA-PBE) for an optimized crystal structure of AlSiCl.

Lattice parameters (Å, degrees): 3.107 4.230 11.680 80.18 86.80 68.28
Sites, in units of the cell vectors:
1 Si 0.620 0.564 0.600
2 Si 0.125 0.483 0.770
3 Al 0.404 0.880 0.875
4 Al 0.892 0.062 0.495
5 Cl 0.365 0.181 0.344
6 Cl 0.886 0.855 0.025

Results
**Spin magnetization**: 0.00 μB/atom

=====

Which one sits at the bottom of the stability order? (w) does.

=====

(w)
Density functional theory data (GGA-PBE) for an optimized crystal structure of AlSiCl.

Lattice parameters (Å, degrees): 7.943 7.561 3.251 84.57 71.38 24.05
Sites, in units of the cell vectors:
1 Si 0.632 0.632 0.368
2 Al 0.994 0.994 0.006
3 Cl 0.374 0.374 0.626

Results
**Spin magnetization**: 0.00 μB/atom

=====

(x)
Density functional theory data (GGA-PBE) for an optimized crystal structure of AlSiCl.

Lattice parameters (Å, degrees): 5.721 5.721 5.721 142.41 142.41 54.21
Sites, in units of the cell vectors:
1 Si 0.564 0.564 0.000
2 Al 0.099 0.099 0.000
3 Cl 0.337 0.337 0.000

Results
**Spin magnetization**: 0.00 μB/atom

=====

Which one sits at the bottom of the stability order? (w) does.